1.
Below is a relaxed SrMn2F crystal, with properties calculated at the PBEsol level. Values from VASP.

The structure in Quantum ESPRESSO input format:
```
&SYSTEM
  ibrav = 0, nat = 4, ntyp = 3
/
ATOMIC_SPECIES
Sr 87.62 Sr.upf
Mn 54.94 Mn.upf
F 19.00 F.upf
CELL_PARAMETERS angstrom
0.0000 3.5360 3.5360
3.5360 0.0000 3.5360
3.5360 3.5360 0.0000
ATOMIC_POSITIONS crystal
Sr 0.0000 0.0000 0.0000
Mn 0.2500 0.2500 0.2500
Mn 0.7500 0.7500 0.7500
F 0.5000 0.5000 0.5000
```

Properties
- Size of the total moment: 9.0 μB/f.u.
- Space group: Fm-3m (225)
- Raw formation energy: 0.6610 eV per atom
- Crystal system: cubic

2.
Below is a relaxed Li2Cu2Si4O11 crystal, with properties calculated at the PBEsol level. Values from VASP.

The structure in Quantum ESPRESSO input format:
```
&SYSTEM
  ibrav = 0, nat = 38, ntyp = 4
/
ATOMIC_SPECIES
Li 6.94 Li.upf
Cu 63.55 Cu.upf
Si 28.09 Si.upf
O 16.00 O.upf
CELL_PARAMETERS angstrom
7.0869 0.0000 0.0000
-2.8692 7.1704 0.0000
-2.0257 -1.7587 8.0687
ATOMIC_POSITIONS crystal
Li 0.1404 0.2849 0.2110
Li 0.3388 0.7586 0.8331
Li 0.6612 0.2414 0.1669
Li 0.8596 0.7151 0.7890
Cu 0.1312 0.8925 0.5953
Cu 0.3838 0.1072 0.3882
Cu 0.6162 0.8928 0.6118
Cu 0.8688 0.1075 0.4047
Si 0.0117 0.7178 0.2135
Si 0.2630 0.1067 0.9658
Si 0.2895 0.4787 0.6007
Si 0.4441 0.7132 0.2342
Si 0.5559 0.2868 0.7658
Si 0.7105 0.5213 0.3993
Si 0.7370 0.8933 0.0342
Si 0.9883 0.2822 0.7865
O 0.1071 0.9012 0.3656
O 0.1078 0.2260 0.9520
O 0.1518 0.3050 0.4420
O 0.1635 0.4654 0.7453
O 0.1648 0.9057 0.8318
O 0.1860 0.6443 0.1728
O 0.3353 0.0967 0.1556
O 0.3400 0.6931 0.5739
O 0.4198 0.0935 0.6226
O 0.4825 0.5321 0.2982
O 0.4860 0.2516 0.9341
O 0.5140 0.7484 0.0659
O 0.5175 0.4679 0.7018
O 0.5802 0.9065 0.3774
O 0.6600 0.3069 0.4261
O 0.6647 0.9033 0.8444
O 0.8140 0.3557 0.8272
O 0.8352 0.0943 0.1682
O 0.8365 0.5346 0.2547
O 0.8482 0.6950 0.5580
O 0.8922 0.7740 0.0480
O 0.8929 0.0988 0.6344
```

Properties
- Size of the total moment: 2.0 μB/f.u.
- Space group: P-1 (2)
- Raw formation energy: -2.2000 eV per atom
- Crystal system: triclinic